[1]
Material: ZrNbAs
Method: DFT, GGA-PBE
State: relaxed

abc: 4.4317 4.4317 4.4317
angles: 60.00 60.00 60.00
With the nearest neighbours (Å) after each atom.
Fractional positions:
As 0.0000 0.0000 0.0000  4 Nb 2.71, 4 Zr 2.71
Zr 0.7500 0.7500 0.7500  4 As 2.71
Nb 0.2500 0.2500 0.2500  4 As 2.71

Values from the calculation:
The total magnetic moment comes out at 0.0 μB per formula unit. The crystal system is cubic. As for the calculated density: 7.0 g/cm3. The final energy is -8.07 eV/atom.

[2]
Material: Nd3As4
Method: DFT, GGA-PBE
State: relaxed

abc: 7.6954 7.6954 7.6954
angles: 109.47 109.47 109.47
With the nearest neighbours (Å) after each atom.
Fractional positions:
As 0.5000 0.0000 0.3390  6 Nd 3.05-3.10, 3 As 3.33
As 0.0000 0.8390 0.5000  6 Nd 3.05-3.10, 3 As 3.33
As 0.3390 0.5000 0.0000  6 Nd 3.05-3.10, 3 As 3.33
Nd 0.8750 0.1250 0.7500  8 As 3.05-3.10
Nd 0.2500 0.6250 0.3750  8 As 3.05-3.10
Nd 0.3750 0.2500 0.6250  8 As 3.05-3.10
Nd 0.6250 0.3750 0.2500  8 As 3.05-3.10
Nd 0.7500 0.8750 0.1250  8 As 3.05-3.10
As 0.1610 0.1610 0.1610  6 Nd 3.05-3.10, 3 As 3.33
As 0.8390 0.5000 0.0000  6 Nd 3.05-3.10, 3 As 3.33
Nd 0.1250 0.7500 0.8750  8 As 3.05-3.10
As 0.0000 0.3390 0.5000  6 Nd 3.05-3.10, 3 As 3.33
As 0.6610 0.6610 0.6610  6 Nd 3.05-3.10, 3 As 3.33
As 0.5000 0.0000 0.8390  6 Nd 3.05-3.10, 3 As 3.33

Values from the calculation:
The total magnetic moment comes out at 0.0 μB per formula unit. The crystal system is cubic. As for the calculated density: 6.9 g/cm3. The final energy is -5.81 eV/atom.

[3]
Material: Nd2Ni2AsP
Method: DFT, GGA-PBE
State: relaxed

abc: 4.0292 4.0292 8.0453
angles: 90.00 90.00 120.00
With the nearest neighbours (Å) after each atom.
Fractional positions:
Nd 0.6667 0.3333 0.2564  6 Ni 3.04-3.11, 3 P 3.04, 3 As 3.11
Nd 0.6667 0.3333 0.7436  6 Ni 3.04-3.11, 3 P 3.04, 3 As 3.11
Ni 0.0000 0.0000 0.5000  3 P 2.33
As 0.0000 0.0000 0.0000  3 Ni 2.33
Ni 0.3333 0.6667 0.0000  3 As 2.33
P 0.3333 0.6667 0.5000  3 Ni 2.33

Values from the calculation:
The total magnetic moment comes out at 0.0 μB per formula unit. The crystal system is hexagonal. As for the calculated density: 7.5 g/cm3. The final energy is -6.22 eV/atom.

[4]
Material: NdNiAs2Pd
Method: DFT, GGA-PBE
State: relaxed

abc: 4.3296 4.3296 9.6490
angles: 90.00 90.00 90.00
With the nearest neighbours (Å) after each atom.
Fractional positions:
As 0.0000 0.0000 0.0000  4 Ni 2.41
Nd 0.5000 0.0000 0.7573  8 As 3.19-3.24, 4 Pd 3.29, 5 Ni 3.32-3.40
As 0.5000 0.0000 0.3537  1 Ni 2.35, 4 Pd 2.58
Ni 0.5000 0.0000 0.1100  5 As 2.35-2.41
As 0.5000 0.5000 0.0000  4 Ni 2.41
As 0.0000 0.5000 0.6463  1 Ni 2.35, 4 Pd 2.58
Nd 0.0000 0.5000 0.2427  8 As 3.19-3.24, 4 Pd 3.29, 5 Ni 3.32-3.40
Ni 0.0000 0.5000 0.8900  5 As 2.35-2.41
Pd 0.5000 0.5000 0.5000  4 As 2.58
Pd 0.0000 0.0000 0.5000  4 As 2.58

Values from the calculation:
The total magnetic moment comes out at 0.0 μB per formula unit. The crystal system is tetragonal. As for the calculated density: 8.4 g/cm3. The calculation puts the energy above the lowest structure with this stoichiometry at 0.0 kJ/mol of atoms.

[5]
Material: NdNiAs2Pd
Method: DFT, GGA-PBE
State: relaxed

abc: 4.2781 4.2781 10.0527
angles: 90.00 90.00 90.00
With the nearest neighbours (Å) after each atom.
Fractional positions:
Ni 0.5000 0.5000 0.5000  4 As 2.43
As 0.0000 0.0000 0.0000  4 Pd 2.55
Ni 0.0000 0.0000 0.5000  4 As 2.43
Nd 0.0000 0.5000 0.2640  4 Ni 3.19, 9 As 3.26-3.53, 4 Pd 3.28
As 0.5000 0.5000 0.0000  4 Pd 2.55
As 0.5000 0.0000 0.3853  4 Ni 2.43, 1 Pd 2.49
Pd 0.5000 0.0000 0.1373  5 As 2.49-2.55
As 0.0000 0.5000 0.6147  4 Ni 2.43, 1 Pd 2.49
Pd 0.0000 0.5000 0.8627  5 As 2.49-2.55
Nd 0.5000 0.0000 0.7360  4 Ni 3.19, 9 As 3.26-3.53, 4 Pd 3.28

Values from the calculation:
The total magnetic moment comes out at 0.0 μB per formula unit. The crystal system is tetragonal. As for the calculated density: 8.3 g/cm3. The calculation puts the energy above the lowest structure with this stoichiometry at 7.5 kJ/mol of atoms.

[6]
Material: NdNiSnAsPd
Method: DFT, GGA-PBE
State: relaxed

abc: 4.5266 4.5266 9.9169
angles: 90.00 90.00 90.00
With the nearest neighbours (Å) after each atom.
Fractional positions:
Sn 0.0000 0.5000 0.8802  4 Ni 2.56, 1 Pd 2.65
Ni 0.0000 0.0000 0.0000  4 Sn 2.56
Pd 0.0000 0.5000 0.6132  4 As 2.53, 1 Sn 2.65
Ni 0.5000 0.5000 0.0000  4 Sn 2.56
Sn 0.5000 0.0000 0.1198  4 Ni 2.56, 1 Pd 2.65
As 0.5000 0.5000 0.5000  4 Pd 2.53
As 0.0000 0.0000 0.5000  4 Pd 2.53
Nd 0.5000 0.0000 0.7447  4 As 3.32, 4 Ni 3.40, 5 Pd 3.46-3.55, 4 Sn 3.47
Nd 0.0000 0.5000 0.2553  4 As 3.32, 4 Ni 3.40, 5 Pd 3.46-3.55, 4 Sn 3.47
Pd 0.5000 0.0000 0.3868  4 As 2.53, 1 Sn 2.65

Values from the calculation:
The total magnetic moment comes out at 0.0 μB per formula unit. The crystal system is tetragonal. As for the calculated density: 8.2 g/cm3. The calculation puts the energy above the lowest structure with this stoichiometry at 11.6 kJ/mol of atoms.

[7]
Material: NdNiSnAsPd
Method: DFT, GGA-PBE
State: relaxed

abc: 4.4341 4.4341 10.0004
angles: 90.00 90.00 90.00
With the nearest neighbours (Å) after each atom.
Fractional positions:
Sn 0.0000 0.5000 0.8485  1 Ni 2.54, 4 Pd 2.69
Sn 0.5000 0.0000 0.1515  1 Ni 2.54, 4 Pd 2.69
Pd 0.5000 0.5000 0.0000  4 Sn 2.69
As 0.5000 0.5000 0.5000  4 Ni 2.41
Nd 0.0000 0.5000 0.2722  4 As 3.18, 5 Ni 3.22-3.41, 4 Sn 3.36, 4 Pd 3.51
Pd 0.0000 0.0000 0.0000  4 Sn 2.69
Ni 0.5000 0.0000 0.4059  4 As 2.41, 1 Sn 2.54
Nd 0.5000 0.0000 0.7278  4 As 3.18, 5 Ni 3.22-3.41, 4 Sn 3.36, 4 Pd 3.51
Ni 0.0000 0.5000 0.5941  4 As 2.41, 1 Sn 2.54
As 0.0000 0.0000 0.5000  4 Ni 2.41

Values from the calculation:
The total magnetic moment comes out at 0.0 μB per formula unit. The crystal system is tetragonal. As for the calculated density: 8.5 g/cm3. The calculation puts the energy above the lowest structure with this stoichiometry at 0.0 kJ/mol of atoms.

[8]
Material: PrNdNi2As2
Method: DFT, GGA-PBE
State: relaxed

abc: 4.1298 4.1298 8.1125
angles: 90.00 90.00 120.00
With the nearest neighbours (Å) after each atom.
Fractional positions:
Pr 0.0000 0.0000 0.0000  6 Ni 3.13, 6 As 3.14
As 0.6667 0.3333 0.7485  3 Ni 2.38
Nd 0.0000 0.0000 0.5000  6 As 3.12, 6 Ni 3.13
As 0.3333 0.6667 0.2515  3 Ni 2.38
Ni 0.3333 0.6667 0.7492  3 As 2.38
Ni 0.6667 0.3333 0.2508  3 As 2.38

Values from the calculation:
The total magnetic moment comes out at 0.0 μB per formula unit. The crystal system is trigonal. As for the calculated density: 7.7 g/cm3. The final energy is -6.04 eV/atom.

[9]
Material: PrNdNi2Sb2As2
Method: DFT, GGA-PBE
State: relaxed

abc: 4.2861 4.2861 9.6732
angles: 90.00 90.00 90.00
With the nearest neighbours (Å) after each atom.
Fractional positions:
Nd 0.0000 0.0000 0.2637  4 As 3.12, 4 Sb 3.25, 4 Ni 3.32
Sb 0.5000 0.5000 0.1416  4 Ni 2.54
Sb 0.0000 0.0000 0.8608  4 Ni 2.54
Ni 0.5000 0.0000 0.0013  4 Sb 2.54
As 0.0000 0.5000 0.4981  4 As 3.03, 2 Nd 3.12, 2 Pr 3.14
Pr 0.5000 0.5000 0.7352  4 As 3.14, 4 Sb 3.27, 4 Ni 3.35
Ni 0.0000 0.5000 0.0013  4 Sb 2.54
As 0.5000 0.0000 0.4981  4 As 3.03, 2 Nd 3.12, 2 Pr 3.14

Values from the calculation:
The total magnetic moment comes out at 0.0 μB per formula unit. The crystal system is tetragonal. As for the calculated density: 7.4 g/cm3. The final energy is -5.51 eV/atom.

[10]
Material: NdSmNi2As2
Method: DFT, GGA-PBE
State: relaxed

abc: 4.1173 4.1173 8.0339
angles: 90.00 90.00 120.00
With the nearest neighbours (Å) after each atom.
Fractional positions:
As 0.6667 0.3333 0.7459  3 Ni 2.38
As 0.3333 0.6667 0.2541  3 Ni 2.38
Sm 0.0000 0.0000 0.5000  6 As 3.09, 6 Ni 3.10
Nd 0.0000 0.0000 0.0000  6 Ni 3.12, 6 As 3.13
Ni 0.6667 0.3333 0.2524  3 As 2.38
Ni 0.3333 0.6667 0.7476  3 As 2.38

Values from the calculation:
The total magnetic moment comes out at 0.0 μB per formula unit. The crystal system is trigonal. As for the calculated density: 7.9 g/cm3. The final energy is -6.04 eV/atom.